Density functional theory data (PBE) for an optimized crystal structure of BeZnOsW.

Lattice parameters (Å, degrees): 6.002 6.002 6.002 90.00 90.00 90.00
Space group F-43m (No. 216)
Symmetry-distinct sites (fractional):
Be 0.000 0.000 0.000 x4
Zn 0.250 0.250 0.750 x4
Os 0.000 0.000 0.500 x4
W 0.250 0.250 0.250 x4

Uncorrected energy in eV/f.u.: -28.8
Volume in Å³ per atom: 13.5
Total magnetization in Bohr magnetons per cell: 0.00